## CaZn2Co (PBE)

Data for a relaxed CaZn2Co crystal.

Lattice parameters (Å, degrees): 4.041 3.555 5.596 71.52 90.00 90.00
Atoms (fractional coordinates):
Zn (0.000, 0.805, 0.014)
Zn (0.500, 0.244, 0.139)
Co (0.500, 0.917, 0.790)
Ca (0.000, 0.534, 0.557)

Results
Total magnetization: 0.4 μB/f.u.
DFT formation energy: 0.48 eV/f.u.

=====

## CaZnCo (PBE)

Data for a relaxed CaZnCo crystal.

Lattice parameters (Å, degrees): 4.675 3.972 6.895 90.00 96.19 90.00
Atoms (fractional coordinates):
Zn (0.849, 0.250, 0.357)
Zn (0.151, 0.750, 0.643)
Co (0.377, 0.250, 0.483)
Co (0.623, 0.750, 0.517)
Ca (0.731, 0.250, 0.830)
Ca (0.269, 0.750, 0.170)

Results
Total magnetization: 1.0 μB/f.u.
DFT formation energy: -0.11 eV/f.u.